Record 1
Material: Pm2AlGe6
Method: DFT, PBE-GGA
State: optimized geometry

Computed properties:
Symmetry: C2/m, No. 12
Formation energy from the elements in kJ/mol of formula units: -389

a b c (Å): 6.0575 6.0575 10.6841
angles (deg): 98.22 98.22 92.22
Closest atoms and distances in Å follow each position.
Positions (direct):
Pm 0.8407 0.3352 0.3383  10 Ge 3.11-3.41, 2 Al 3.35-3.39
Pm 0.3352 0.8407 0.3383  10 Ge 3.11-3.41, 2 Al 3.35-3.39
Pm 0.1593 0.6648 0.6617  10 Ge 3.11-3.41, 2 Al 3.35-3.39
Pm 0.6648 0.1593 0.6617  10 Ge 3.11-3.41, 2 Al 3.35-3.39
Ge 0.5086 0.5086 0.8834  3 Ge 2.53-2.57, 1 Al 2.57
Ge 0.6364 0.6364 0.5872  2 Ge 2.64
Ge 0.1474 0.1474 0.5606  1 Al 2.53, 2 Ge 2.55-2.64
Ge 0.5043 0.9325 0.8836  3 Ge 2.51-2.57, 1 Al 2.64
Ge 0.9325 0.5043 0.8836  3 Ge 2.51-2.57, 1 Al 2.64
Ge 0.4914 0.4914 0.1166  3 Ge 2.53-2.57, 1 Al 2.57
Ge 0.0709 0.0709 0.1160  3 Ge 2.52-2.57, 1 Al 2.59
Ge 0.3636 0.3636 0.4128  2 Ge 2.64
Ge 0.4957 0.0675 0.1164  3 Ge 2.51-2.57, 1 Al 2.64
Ge 0.0675 0.4957 0.1164  3 Ge 2.51-2.57, 1 Al 2.64
Ge 0.8526 0.8526 0.4394  1 Al 2.53, 2 Ge 2.55-2.64
Ge 0.9291 0.9291 0.8840  3 Ge 2.52-2.57, 1 Al 2.59
Al 0.8020 0.8020 0.1980  5 Ge 2.53-2.64
Al 0.1980 0.1980 0.8020  5 Ge 2.53-2.64

***

Record 2
Material: Na2AgB2Pt5
Method: DFT, PBE-GGA
State: optimized geometry

Computed properties:
Symmetry: P4/mbm, No. 127
Formation energy from the elements in kJ/mol of formula units: -267

a b c (Å): 3.0025 9.9827 9.9827
angles (deg): 90.00 90.00 90.00
Closest atoms and distances in Å follow each position.
Positions (direct):
Pt 0.5000 0.0679 0.7713  2 B 2.17
Pt 0.5000 0.9321 0.2287  2 B 2.17
Pt 0.5000 0.7287 0.4321  2 B 2.17
Pt 0.5000 0.5000 0.0000  4 B 2.32
Pt 0.5000 0.2713 0.5679  2 B 2.17
Pt 0.5000 0.5679 0.7287  2 B 2.17
Pt 0.5000 0.4321 0.2713  2 B 2.17
Pt 0.5000 0.7713 0.9321  2 B 2.17
Pt 0.5000 0.2287 0.0679  2 B 2.17
Pt 0.5000 0.0000 0.5000  4 B 2.32
Na 0.0000 0.3212 0.8212  3 B 2.76-3.08, 10 Pt 2.94-3.03, 2 Na 3.00
Na 0.0000 0.8212 0.6788  3 B 2.76-3.08, 10 Pt 2.94-3.03, 2 Na 3.00
Na 0.0000 0.6788 0.1788  3 B 2.76-3.08, 10 Pt 2.94-3.03, 2 Na 3.00
Na 0.0000 0.1788 0.3212  3 B 2.76-3.08, 10 Pt 2.94-3.03, 2 Na 3.00
B 0.0000 0.1254 0.6254  6 Pt 2.17-2.32
B 0.0000 0.8746 0.3746  6 Pt 2.17-2.32
B 0.0000 0.6254 0.8746  6 Pt 2.17-2.32
B 0.0000 0.3746 0.1254  6 Pt 2.17-2.32
Ag 0.0000 0.0000 0.0000  8 Pt 2.81, 2 Ag 3.00
Ag 0.0000 0.5000 0.5000  8 Pt 2.81, 2 Ag 3.00

***

Record 3
Material: Sc3SnP
Method: DFT, PBE-GGA
State: optimized geometry

Computed properties:
Relative energy among the computed polymorphs in meV/atom: 7
Symmetry: Cmmm, No. 65
Formation energy from the elements in kJ/mol of formula units: -386

a b c (Å): 4.8330 6.6515 7.8505
angles (deg): 115.06 90.00 90.00
Closest atoms and distances in Å follow each position.
Positions (direct):
Sc 0.5000 0.7283 0.0000  2 P 2.49
Sc 0.5000 0.5000 0.5000  2 P 2.48
Sc 0.5000 0.2717 0.0000  2 P 2.49
Sc 0.0000 0.1351 0.2702  2 P 2.43
Sc 0.5000 0.0000 0.5000  2 P 2.48
Sc 0.0000 0.8649 0.7298  2 P 2.43
Sn 0.0000 0.6365 0.2730  11 Sc 3.25-3.45
Sn 0.0000 0.3635 0.7270  11 Sc 3.25-3.45
P 0.5000 0.8795 0.7591  6 Sc 2.43-2.49
P 0.5000 0.1205 0.2409  6 Sc 2.43-2.49

***

Record 4
Material: RbCa2ScF8
Method: DFT, PBE-GGA
State: optimized geometry

Computed properties:
Formation energy from raw total energies in eV/f.u.: -44.47
Symmetry: P2/m, No. 10

a b c (Å): 5.2634 5.2953 7.4204
angles (deg): 90.00 90.00 88.34
Closest atoms and distances in Å follow each position.
Positions (direct):
F 0.7121 0.7286 0.0000  1 Sc 2.12
F 0.6366 0.6894 0.5000  2 Ca 2.25, 1 F 2.50
F 0.8124 0.2070 0.1905  1 Sc 2.03, 1 Ca 2.27
F 0.1876 0.7930 0.8095  1 Sc 2.03, 1 Ca 2.27
F 0.2879 0.2714 0.0000  1 Sc 2.12
F 0.8124 0.2071 0.8095  1 Sc 2.03, 1 Ca 2.27
F 0.3634 0.3106 0.5000  2 Ca 2.25, 1 F 2.50
F 0.1876 0.7929 0.1905  1 Sc 2.03, 1 Ca 2.27
Rb 0.0000 0.0000 0.5000  6 F 2.56-2.72
Ca 0.5000 0.5000 0.7527  6 F 2.25-2.48
Ca 0.5000 0.5000 0.2473  6 F 2.25-2.48
Sc 0.0000 0.0000 0.0000  6 F 2.03-2.12

***

Record 5
Material: Ba2SrAl2P4
Method: DFT, PBE-GGA
State: optimized geometry

Computed properties:
Symmetry: C2/m, No. 12
Formation energy from the elements in kJ/mol of formula units: -826

a b c (Å): 4.0970 7.7965 8.3075
angles (deg): 110.42 104.28 90.00
Closest atoms and distances in Å follow each position.
Positions (direct):
P 0.7876 0.8307 0.5752  3 Al 2.48-2.50
P 0.4687 0.2563 0.9374  1 Al 2.33
P 0.5313 0.7437 0.0626  1 Al 2.33
P 0.2124 0.1693 0.4248  3 Al 2.48-2.50
Sr 0.0000 0.0000 0.0000  6 P 3.03-3.19
Ba 0.1242 0.5475 0.2484  6 P 3.23-3.44
Ba 0.8758 0.4525 0.7516  6 P 3.23-3.44
Al 0.6724 0.9724 0.3447  4 P 2.33-2.50
Al 0.3276 0.0276 0.6553  4 P 2.33-2.50

***

Record 6
Material: TlCdCoSe2
Method: DFT, PBE-GGA
State: optimized geometry

Computed properties:
Formation energy from raw total energies in eV/f.u.: 5.61
Symmetry: P4/mmm, No. 123

a b c (Å): 5.4705 5.4105 5.4705
angles (deg): 90.00 90.00 90.00
Closest atoms and distances in Å follow each position.
Positions (direct):
Se 0.0000 0.0000 0.5000  2 Tl 2.74
Se 0.5000 0.0000 0.0000  2 Tl 2.74
Co 0.5000 0.5000 0.5000  8 Se 3.85, 4 Cd 3.87
Cd 0.0000 0.5000 0.0000  2 Tl 2.71
Tl 0.0000 0.0000 0.0000  2 Cd 2.71, 4 Se 2.74

***

Record 7
Material: TaTe2Se
Method: DFT, PBE-GGA
State: optimized geometry

Computed properties:
Formation energy from raw total energies in eV/f.u.: -0.10
Symmetry: Imm2, No. 44

a b c (Å): 7.5427 7.5427 7.5427
angles (deg): 155.83 136.61 50.28
Closest atoms and distances in Å follow each position.
Positions (direct):
Te 0.0960 0.0960 0.0000  2 Ta 2.88, 2 Te 3.16
Te 0.7176 0.2176 0.5000  4 Te 3.16-3.25, 4 Ta 3.29
Ta 0.2719 0.7719 0.5000  2 Se 2.51
Se 0.4144 0.4144 0.0000  2 Ta 2.51

***

Record 8
Material: PrCd6Pd4
Method: DFT, PBE-GGA
State: optimized geometry

Computed properties:
Symmetry: P-6m2, No. 187
Formation energy from the elements in kJ/mol of formula units: -382

a b c (Å): 4.3513 7.8195 7.8195
angles (deg): 120.00 90.00 90.00
Closest atoms and distances in Å follow each position.
Positions (direct):
Cd 0.0000 0.5348 0.0696  5 Pd 2.73-2.81
Cd 0.5000 0.6040 0.8020  4 Pd 2.72-2.84
Cd 0.0000 0.5348 0.4652  5 Pd 2.73-2.81
Cd 0.5000 0.1980 0.3960  4 Pd 2.72-2.84
Cd 0.0000 0.9304 0.4652  5 Pd 2.73-2.81
Cd 0.5000 0.1980 0.8020  4 Pd 2.72-2.84
Pd 0.5000 0.7964 0.2036  6 Cd 2.72-2.81, 2 Pd 3.04
Pd 0.5000 0.7964 0.5928  6 Cd 2.72-2.81, 2 Pd 3.04
Pd 0.0000 0.3333 0.6667  9 Cd 2.73-2.84
Pd 0.5000 0.4072 0.2036  6 Cd 2.72-2.81, 2 Pd 3.04
Pr 0.0000 0.0000 0.0000  6 Cd 3.45, 6 Pd 3.51